(1)
A relaxed structure of Pm2InSi3Pt4, computed with GGA-PBE.

Values from the calculation:
Its total energy is -6.2630 eV/atom. The value obtained for the density of states at the Fermi level is 0.399 states/eV/atom. The calculation puts the magnetization at 0.00 Bohr magnetons per cell.

a b c (Å): 4.300 4.300 10.267
angles (deg): 90.00 90.00 90.00
Positions (direct):
Pm: 0.500 0.000 0.244
Pm: 0.000 0.500 0.756
In: 0.500 0.500 0.500
Si: 0.000 0.000 0.500
Si: 0.500 0.000 0.878
Si: 0.000 0.500 0.122
Pt: 0.500 0.500 0.000
Pt: 0.000 0.000 0.000
Pt: 0.500 0.000 0.649
Pt: 0.000 0.500 0.351

(2)
A relaxed structure of Pm2InSi4Pt3, computed with GGA-PBE.

Values from the calculation:
Its total energy is -6.1307 eV/atom. The value obtained for the density of states at the Fermi level is 0.315 states/eV/atom. The calculation puts the magnetization at 0.00 Bohr magnetons per cell.

a b c (Å): 4.258 4.258 10.283
angles (deg): 90.00 90.00 90.00
Positions (direct):
Pm: 0.500 0.000 0.238
Pm: 0.000 0.500 0.762
In: 0.500 0.500 0.500
Si: 0.500 0.500 0.000
Si: 0.000 0.000 0.000
Si: 0.500 0.000 0.652
Si: 0.000 0.500 0.348
Pt: 0.000 0.000 0.500
Pt: 0.500 0.000 0.885
Pt: 0.000 0.500 0.115